A plane-wave DFT calculation with PBE-GGA was carried out for a relaxed structure of La2SmTmBi4.

extended XYZ file:
```
8
Lattice="-4.566 0.248 0.597 0.616 -4.477 6.575 0.672 7.684 1.942" Properties=species:S:1:pos:R:3 pbc="T T T"
Bi 0.623 -1.517 5.399
Bi -1.975 0.861 2.348
Bi -1.304 2.593 6.765
Bi 0.664 4.723 3.118
Sm -1.975 -2.115 3.586
La -1.947 3.966 1.269
La 0.644 1.603 4.258
Tm 0.000 0.000 0.000
```

Calculated values
The calculation puts the formation energy at -950 meV per atom.

A plane-wave DFT calculation with PBE-GGA was carried out for a relaxed structure of LaSm2TmBi5.

extended XYZ file:
```
9
Lattice="5.368 0.000 0.000 0.000 5.368 0.000 0.000 0.000 12.188" Properties=species:S:1:pos:R:3 pbc="T T T"
Sm 2.684 2.684 8.933
Sm 2.684 2.684 3.256
Bi 0.000 0.000 3.070
Bi 2.684 0.000 6.094
Bi 0.000 0.000 9.118
Bi 0.000 2.684 6.094
Bi 2.684 2.684 0.000
La 0.000 0.000 0.000
Tm 0.000 0.000 6.094
```

Calculated values
The calculation puts the formation energy at -166 meV per atom.

A plane-wave DFT calculation with PBE-GGA was carried out for a relaxed structure of La2SmTmBi5.

extended XYZ file:
```
9
Lattice="5.404 0.000 0.000 0.000 5.404 0.000 0.000 0.000 12.042" Properties=species:S:1:pos:R:3 pbc="T T T"
Bi 0.000 2.702 6.021
Bi 0.000 0.000 9.040
Bi 0.000 0.000 3.001
Bi 2.702 0.000 6.021
Bi 2.702 2.702 0.000
La 2.702 2.702 3.345
La 2.702 2.702 8.696
Tm 0.000 0.000 6.021
Sm 0.000 0.000 0.000
```

Calculated values
The calculation puts the formation energy at -296 meV per atom.

A plane-wave DFT calculation with PBE-GGA was carried out for a relaxed structure of LaSm2Y3Bi6.

extended XYZ file:
```
12
Lattice="-1.043 3.930 6.751 -5.536 0.254 -5.603 -1.078 -7.350 2.579" Properties=species:S:1:pos:R:3 pbc="T T T"
Sm -2.539 2.706 2.639
Sm -4.041 1.478 -1.491
Bi -4.945 -1.717 4.854
Bi -2.712 -1.449 -1.127
Bi -2.461 -4.411 2.208
Bi -5.196 1.246 1.519
Bi -1.196 -0.208 3.042
Bi -6.461 -2.957 0.685
Y -3.828 -1.583 1.863
Y -5.333 -2.814 -2.275
Y -2.323 -0.352 6.001
La 0.000 0.000 0.000
```

Calculated values
The calculation puts the formation energy at -931 meV per atom.